! CoIr2W, optimized geometry, DFT PBE; values from VASP
! Size of the total moment ... 1.24 μB per formula unit
! Symmetry ... Cm (8)
! V ... 56.4 Å³ per cell
! Distance to the lowest polymorph of the same formula ... 165 meV per atom
&SYSTEM
  ibrav = 0, nat = 4, ntyp = 3
/
ATOMIC_SPECIES
Ir 192.22 Ir.upf
Co 58.93 Co.upf
W 183.84 W.upf
ATOMIC_POSITIONS angstrom
Ir 7.0157 2.1357 3.4297
Ir 8.5762 2.6107 0.0690
Co 2.3487 0.7150 1.1243
W 4.7036 1.4318 2.3037
CELL_PARAMETERS angstrom
4.6857 -0.0022 0.0030
3.8897 2.6126 0.0030
0.8037 0.2447 4.6077

---

! LaTa2Cl, optimized geometry, DFT PBE; values from VASP
! Size of the total moment ... 0.00 μB per formula unit
! Energy relative to the elements, uncorrected ... 13.4 kJ per mole of atoms
! Symmetry ... C2/m (12)
! V ... 92.0 Å³ per cell
! Distance to the lowest polymorph of the same formula ... 337 meV per atom
&SYSTEM
  ibrav = 0, nat = 4, ntyp = 3
/
ATOMIC_SPECIES
Cl 35.45 Cl.upf
La 138.91 La.upf
Ta 180.95 Ta.upf
ATOMIC_POSITIONS angstrom
Cl -1.1073 3.6220 1.6157
La 1.1238 3.1815 -0.0013
Ta 2.2476 0.4388 1.6109
Ta 0.0000 0.0000 0.0000
CELL_PARAMETERS angstrom
4.4787 -0.0017 -0.0061
-2.2311 6.3648 0.0034
0.0165 0.8792 3.2279